DFT (PBE-GGA) results for a relaxed TmInBi crystal.

The structure in POSCAR format:
```
TmInBi
1.0
5.4092 0.0000 0.0000
-2.7046 4.6845 0.0000
0.0000 0.0000 3.3752
Tm In Bi
1 1 1
Cartesian
0.0000 0.0000 0.0000
0.0000 3.1230 1.5479
2.7046 1.5615 1.7932
```

## Properties
As for the density: 9.6 g/cm³. The formation energy is -0.21 eV/atom. For the volume, the calculation gives 85.52 Å³/cell. The calculation puts the calculated total energy at -3.910 eV/atom. The polymorph energy (0 for the lowest one) is 0 meV per atom. The size of the total moment comes out at 0.00 μB per cell.